# HfPd2Au4

HfPd2Au4 after structural relaxation (PBE, Alexandria).

Structure (CIF):
```
data_HfPd2Au4
_chemical_formula_sum 'Hf2 Pd4 Au8'
_cell_length_a 8.3416
_cell_length_b 7.8139
_cell_length_c 4.0066
_cell_angle_alpha 90.00
_cell_angle_beta 91.14
_cell_angle_gamma 90.00
_space_group_name_H-M_alt 'C 1 2/m 1'
_space_group_IT_number 12
loop_
_space_group_symop_operation_xyz
'x,y,z'
'-x,-y,-z'
'-x,y,-z'
'x,-y,z'
'x+1/2,y+1/2,z'
'-x+1/2,-y+1/2,-z'
'-x+1/2,y+1/2,-z'
'x+1/2,-y+1/2,z'
loop_
_atom_site_label
_atom_site_fract_x
_atom_site_fract_y
_atom_site_fract_z
Hf1 0.0000 0.0000 0.0000
Pd1 0.2335 0.0000 0.5006
Au1 0.0000 0.2747 0.5000
Au2 0.2500 0.2500 0.0000
```

Summary:
Formation enthalpy at 0 K: -362 meV/atom
Calculated density: 14999 kg/m³
DOS at the Fermi energy: 0.184 states/eV per atom
Crystal system: monoclinic